A plane-wave DFT calculation with GGA+U was carried out for a geometry-optimized RbFe2RuO structure.

```
5
Lattice="-0.131 1.997 -3.884 -3.031 -3.317 -1.604 -3.372 2.423 1.360" Properties=species:S:1:pos:R:3 pbc="T T T"
Fe -0.065 0.999 -1.942
Ru -1.516 -1.659 -0.802
Fe -1.686 1.212 0.680
O 0.000 0.000 0.000
Rb -3.267 0.552 -2.064
```

Output
DFT total energy in eV per cell: -22.06
Symmetry: P4/mmm